DFT (SCAN) results for a PBEsol-optimized structure of TaSbI2N.

Cell: 3.8884 5.6275 5.6275 Å, 90.00 90.00 90.00°
Last column: nearest neighbours and their distance in Å.
Fractional positions:
Ta 0.0000 0.0000 0.0000  2 N 1.94
N 0.5000 0.0000 0.0000  2 Ta 1.94
I 0.0000 0.5000 0.0000  2 Ta 2.81
I 0.0000 0.0000 0.5000  2 Ta 2.81
Sb 0.5000 0.5000 0.5000  8 I 3.42

* raw formation energy: 0.33 eV per atom
* total magnetization: 0.0 μB per formula unit

---

DFT (SCAN) results for a PBEsol-optimized structure of TiSb2IN.

Cell: 5.1923 5.1923 5.4581 Å, 90.00 90.00 90.00°
Last column: nearest neighbours and their distance in Å.
Fractional positions:
Sb 0.0000 0.5000 0.0000  2 Ti 2.60
Sb 0.5000 0.0000 0.0000  2 Ti 2.60
Ti 0.0000 0.0000 0.0000  4 Sb 2.60, 2 I 2.73
I 0.0000 0.0000 0.5000  2 Ti 2.73
N 0.5000 0.5000 0.5000  4 I 3.67, 8 Sb 3.77

* raw formation energy: 1.00 eV per atom
* total magnetization: 2.8 μB per formula unit

---

DFT (SCAN) results for a PBEsol-optimized structure of TiSb2IN.

Cell: 4.7684 4.6352 4.6352 Å, 90.00 90.00 90.00°
Last column: nearest neighbours and their distance in Å.
Fractional positions:
N 0.0000 0.0000 0.0000  4 Sb 2.32, 2 I 2.38
I 0.5000 0.0000 0.0000  2 N 2.38
Sb 0.0000 0.0000 0.5000  2 N 2.32
Sb 0.0000 0.5000 0.0000  2 N 2.32
Ti 0.5000 0.5000 0.5000  4 I 3.28, 8 Sb 3.32

* raw formation energy: 0.78 eV per atom
* total magnetization: 1.1 μB per formula unit

---

DFT (SCAN) results for a PBEsol-optimized structure of TlSbI2N.

Cell: 3.9786 6.2073 6.2073 Å, 90.00 90.00 90.00°
Last column: nearest neighbours and their distance in Å.
Fractional positions:
N 0.5000 0.0000 0.0000  2 Sb 1.99
Tl 0.5000 0.5000 0.5000  8 I 3.69, 2 Tl 3.98
I 0.0000 0.5000 0.0000  2 Sb 3.10
I 0.0000 0.0000 0.5000  2 Sb 3.10
Sb 0.0000 0.0000 0.0000  2 N 1.99

* raw formation energy: 0.27 eV per atom
* total magnetization: 0.0 μB per formula unit

---

DFT (SCAN) results for a PBEsol-optimized structure of TlSbI2N.

Cell: 4.2473 5.7112 5.7112 Å, 90.00 90.00 90.00°
Last column: nearest neighbours and their distance in Å.
Fractional positions:
Tl 0.5000 0.5000 0.5000  8 I 3.56
I 0.0000 0.5000 0.0000  2 N 2.86
I 0.0000 0.0000 0.5000  2 N 2.86
N 0.0000 0.0000 0.0000  2 Sb 2.12
Sb 0.5000 0.0000 0.0000  2 N 2.12

* raw formation energy: 0.66 eV per atom
* total magnetization: 0.0 μB per formula unit

---

DFT (SCAN) results for a PBEsol-optimized structure of TlSbI2N.

Cell: 5.7275 6.1140 6.1140 Å, 90.00 90.00 90.00°
Last column: nearest neighbours and their distance in Å.
Fractional positions:
Tl 0.0000 0.0000 0.0000  2 Sb 2.86, 4 I 3.06
I 0.0000 0.5000 0.0000  2 Tl 3.06
I 0.0000 0.0000 0.5000  2 Tl 3.06
N 0.5000 0.5000 0.5000  8 I 4.19, 4 Sb 4.32
Sb 0.5000 0.0000 0.0000  2 Tl 2.86

* raw formation energy: 1.22 eV per atom
* total magnetization: 4.6 μB per formula unit

---

DFT (SCAN) results for a PBEsol-optimized structure of ZnSbIN2.

Cell: 4.0053 4.0053 6.6950 Å, 90.00 90.00 90.00°
Last column: nearest neighbours and their distance in Å.
Fractional positions:
N 0.5000 0.0000 0.0000  2 Sb 2.00
N 0.0000 0.5000 0.0000  2 Sb 2.00
Sb 0.0000 0.0000 0.0000  4 N 2.00
I 0.0000 0.0000 0.5000  4 Zn 2.83
Zn 0.5000 0.5000 0.5000  4 I 2.83

* raw formation energy: 1.20 eV per atom
* total magnetization: 1.2 μB per formula unit

---

DFT (SCAN) results for a PBEsol-optimized structure of ZrSb2IN.

Cell: 4.7840 4.6646 4.6646 Å, 90.00 90.00 90.00°
Last column: nearest neighbours and their distance in Å.
Fractional positions:
I 0.5000 0.0000 0.0000  2 N 2.39
Sb 0.0000 0.0000 0.5000  2 N 2.33
Sb 0.0000 0.5000 0.0000  2 N 2.33
Zr 0.5000 0.5000 0.5000  4 I 3.30, 8 Sb 3.34
N 0.0000 0.0000 0.0000  4 Sb 2.33, 2 I 2.39

* raw formation energy: 0.60 eV per atom
* total magnetization: 0.0 μB per formula unit

---

Total energy values, unit eV per formula unit, following the record order: -184.98, -131.60, -132.68, -191.05, -189.12, -186.31, -100.12, -148.26.